Entry 1:
Crystalline Dy5Pt2Pb2 at its relaxed geometry. Source: Alexandria via LeMat-Bulk, functional GGA-PBE.

Values from the calculation:
V in Å³ per cell: 485.6
Calculated total energy in eV per atom: -5.555

The structure in POSCAR format:
```
Dy5Pt2Pb2
1.0
-0.890 -0.797 7.257
-5.964 -5.907 -1.380
8.436 -2.568 0.752
Dy Pt Pb
10 4 4
direct
0.000 0.000 0.000
0.500 0.500 0.000
0.848 0.798 0.239
0.152 0.441 0.239
0.348 0.941 0.239
0.652 0.298 0.239
0.152 0.202 0.761
0.848 0.559 0.761
0.652 0.059 0.761
0.348 0.702 0.761
0.638 0.874 0.000
0.362 0.126 0.000
0.138 0.626 0.000
0.862 0.374 0.000
0.000 0.214 0.428
0.500 0.714 0.428
0.000 0.786 0.572
0.500 0.286 0.572
```

***

Entry 2:
Crystalline Rb3Br2O at its relaxed geometry. Source: Alexandria via LeMat-Bulk, functional GGA-PBE.

Values from the calculation:
V in Å³ per cell: 447.8
E_form (uncorrected) in eV per atom: -1.322

The structure in POSCAR format:
```
Rb3Br2O
1.0
4.727 0.000 0.000
0.000 6.790 0.000
0.000 0.000 13.952
Rb Br O
6 4 2
direct
0.000 0.000 0.000
0.500 0.500 0.500
0.500 0.492 0.140
0.500 0.508 0.860
0.000 0.008 0.640
0.000 0.992 0.360
0.500 0.992 0.175
0.000 0.508 0.675
0.000 0.492 0.325
0.500 0.008 0.825
0.000 0.500 0.000
0.500 0.000 0.500
```

***

Entry 3:
Crystalline LaCe2InSn2 at its relaxed geometry. Source: Alexandria via LeMat-Bulk, functional GGA-PBE.

Values from the calculation:
V in Å³ per cell: 227.0
Calculated total energy in eV per atom: -4.607

The structure in POSCAR format:
```
LaCe2InSn2
1.0
6.238 0.000 0.000
0.000 6.238 0.000
-3.119 -3.119 5.833
La Ce In Sn
1 2 1 2
direct
0.500 0.500 0.000
0.250 0.750 0.500
0.750 0.250 0.500
0.000 0.000 0.000
0.759 0.759 0.518
0.241 0.241 0.482
```

***

Entry 4:
Crystalline CrAs2HBr at its relaxed geometry. Source: Alexandria via LeMat-Bulk, functional GGA-PBE.

Values from the calculation:
V in Å³ per cell: 114.2
ΔE to the lowest computed polymorph in meV per atom: 121

The structure in POSCAR format:
```
CrAs2HBr
1.0
-1.729 2.755 -3.227
-3.971 0.177 2.278
1.774 4.340 2.755
Cr As Br H
1 2 1 1
direct
0.000 0.000 0.000
0.000 0.500 0.000
0.500 0.000 0.000
0.000 0.000 0.500
0.500 0.500 0.500
```

***

Entry 5:
Crystalline TaBeIr at its relaxed geometry. Source: Alexandria via LeMat-Bulk, functional GGA-PBE.

Values from the calculation:
V in Å³ per cell: 42.0
ΔE to the lowest computed polymorph in meV per atom: 147

The structure in POSCAR format:
```
TaBeIr
1.0
4.123 0.000 0.000
-2.062 3.571 0.000
0.000 0.000 2.856
Be Ir Ta
1 1 1
direct
0.000 0.000 0.167
0.333 0.667 0.167
0.667 0.333 0.667
```

***

Entry 6:
Crystalline TbHo3Tm2Sb6 at its relaxed geometry. Source: Alexandria via LeMat-Bulk, functional GGA-PBE.

Values from the calculation:
V in Å³ per cell: 352.2
E_form (uncorrected) in eV per atom: -1.104

The structure in POSCAR format:
```
TbHo3Tm2Sb6
1.0
4.361 0.000 0.000
0.000 8.719 0.316
-2.181 -2.506 9.170
Tb Ho Tm Sb
1 3 2 6
direct
0.500 0.000 0.000
0.500 0.500 0.000
0.834 0.167 0.668
0.166 0.833 0.332
0.833 0.667 0.666
0.167 0.333 0.334
0.333 0.915 0.665
0.667 0.582 0.334
0.667 0.085 0.335
0.001 0.252 0.002
0.999 0.748 0.998
0.333 0.418 0.666
```

***

Entry 7:
Crystalline Tb2Sm2Dy2Y at its relaxed geometry. Source: Alexandria via LeMat-Bulk, functional GGA-PBE.

Values from the calculation:
V in Å³ per cell: 229.3
Calculated total energy in eV per atom: -4.767

The structure in POSCAR format:
```
Tb2Sm2Dy2Y
1.0
-2.903 4.647 1.550
-5.368 0.720 -1.756
-5.455 -2.114 6.578
Tb Sm Dy Y
2 2 2 1
direct
0.717 0.717 0.848
0.283 0.283 0.152
0.139 0.139 0.582
0.861 0.861 0.418
0.574 0.574 0.278
0.426 0.426 0.722
0.000 0.000 0.000
```

***

Entry 8:
Crystalline Sr2Ga2Sb at its relaxed geometry. Source: Alexandria via LeMat-Bulk, functional GGA-PBE.

Values from the calculation:
V in Å³ per cell: 288.8
ΔE to the lowest computed polymorph in meV per atom: 0
E_form (uncorrected) in eV per atom: -0.519

The structure in POSCAR format:
```
Sr2Ga2Sb
1.0
-6.862 -1.934 2.870
2.959 -6.583 2.641
1.141 2.203 4.213
Sb Ga Sr
2 4 4
direct
0.000 0.000 0.000
0.500 0.500 0.000
0.380 0.880 0.000
0.880 0.620 0.000
0.620 0.120 0.000
0.120 0.380 0.000
0.178 0.678 0.500
0.678 0.822 0.500
0.822 0.322 0.500
0.322 0.178 0.500
```

***

Entry 9:
Crystalline LaPb3 at its relaxed geometry. Source: Alexandria via LeMat-Bulk, functional GGA-PBE.

Values from the calculation:
V in Å³ per cell: 127.7
Calculated total energy in eV per atom: -4.128

The structure in POSCAR format:
```
LaPb3
1.0
3.567 0.000 0.000
-1.784 3.089 0.000
0.000 0.000 11.586
La Pb
1 3
direct
0.000 0.000 0.000
0.000 0.000 0.500
0.667 0.333 0.250
0.667 0.333 0.750
```

***

Entry 10:
Crystalline CdIn2P at its relaxed geometry. Source: Alexandria via LeMat-Bulk, functional GGA-PBE.

Values from the calculation:
V in Å³ per cell: 93.6
ΔE to the lowest computed polymorph in meV per atom: 153

The structure in POSCAR format:
```
CdIn2P
1.0
3.448 0.008 0.000
-0.083 3.447 0.000
0.000 0.000 7.877
Cd In P
1 2 1
direct
0.500 0.500 0.750
0.000 0.000 0.038
0.000 0.000 0.462
0.500 0.500 0.250
```

***

Entry 11:
Crystalline NdMgBi2 at its relaxed geometry. Source: Alexandria via LeMat-Bulk, functional GGA-PBE.

Values from the calculation:
V in Å³ per cell: 128.1
ΔE to the lowest computed polymorph in meV per atom: 129

The structure in POSCAR format:
```
NdMgBi2
1.0
-1.816 -3.741 -1.930
0.794 -0.913 -4.422
5.373 -5.249 -0.328
Mg Nd Bi
1 1 2
direct
0.000 0.000 0.000
0.500 0.500 0.500
0.257 0.257 0.230
0.743 0.743 0.770
```

***

Number 1: magnetization 0.00 μB per formula unit. Number 2: magnetization 1.00 μB per formula unit. Number 3: magnetization 1.99 μB per formula unit. Number 4: magnetization 1.92 μB per formula unit. Number 5: magnetization 0.00 μB per formula unit. Number 6: magnetization 0.00 μB per formula unit. Number 7: magnetization 0.01 μB per formula unit. Number 8: magnetization 0.00 μB per formula unit. Number 9: magnetization 0.00 μB per formula unit. Number 10: magnetization 0.00 μB per formula unit. Number 11: magnetization 0.00 μB per formula unit.